## KFeMoO4 (PBE with a Hubbard U)

Data for KFeMoO4 after structural relaxation.

## Properties
The volume is 256.52 Å³ per cell. The calculation puts the density at 3300 kg/m3. As for the total energy: -88.130 eV/cell.

abc: 5.592 5.866 8.216
angles: 90.00 107.87 90.00
Last column: magnetic moment on the atom in μB.
Positions (direct):
1 O 0.510 0.750 0.536  0.07
2 O 0.986 0.481 0.663  0.06
3 O 0.986 0.019 0.663  0.06
4 O 0.014 0.981 0.337  0.06
5 O 0.490 0.250 0.464  0.07
6 O 0.595 0.250 0.838  0.01
7 O 0.405 0.750 0.162  0.01
8 O 0.014 0.519 0.337  0.06
9 Mo 0.247 0.750 0.325  0.92
10 Mo 0.753 0.250 0.675  0.92
11 K 0.390 0.750 0.835  0.00
12 K 0.610 0.250 0.165  0.00
13 Fe 0.155 0.250 0.513  3.74
14 Fe 0.845 0.750 0.487  3.74